No. 1
First-principles (GGA-PBE) data for a geometry-optimized Y2ZrAs structure, as listed in Alexandria via LeMat-Bulk.

```
Y2ZrAs
1.0
-0.153 -3.935 -1.867
4.012 0.116 -0.573
2.810 -2.414 4.857
Zr Y As
1 2 1
direct
0.000 0.694 0.487
0.000 0.977 0.922
0.500 0.278 0.318
0.500 0.551 0.773
```

Values from the calculation:
formation energy: -0.555 eV/atom
calculated total energy: -7.087 eV per atom



No. 2
First-principles (GGA-PBE) data for a geometry-optimized YZr3As structure, as listed in Alexandria via LeMat-Bulk.

```
YZr3As
1.0
5.110 0.000 0.000
0.000 5.110 0.000
0.000 0.000 5.110
Zr As Y
3 1 1
direct
0.000 0.000 0.500
0.500 0.000 0.000
0.000 0.500 0.000
0.000 0.000 0.000
0.500 0.500 0.500
```

Values from the calculation:
offset from the most stable computed form: 0.00 eV/f.u.
formation energy: -0.141 eV/atom
calculated total energy: -7.493 eV per atom



No. 3
First-principles (GGA-PBE) data for a geometry-optimized Y4ZrAs structure, as listed in Alexandria via LeMat-Bulk.

```
Y4ZrAs
1.0
-4.463 -4.352 -0.657
-5.785 1.680 -1.732
-2.117 -1.481 -5.711
Y Zr As
4 1 1
direct
0.376 0.871 0.376
0.376 0.376 0.376
0.376 0.376 0.871
0.871 0.376 0.376
0.750 0.750 0.750
0.000 0.000 0.000
```

Values from the calculation:
formation energy: 0.439 eV/atom
calculated total energy: -6.070 eV per atom



No. 4
First-principles (GGA-PBE) data for a geometry-optimized Y2ZrAs structure, as listed in Alexandria via LeMat-Bulk.

```
Y2ZrAs
1.0
-2.817 -2.307 0.407
2.052 -2.122 2.170
-2.300 3.859 5.948
Y Zr As
2 1 1
direct
0.000 0.000 0.533
0.000 0.000 0.967
0.500 0.500 0.250
0.500 0.500 0.750
```

Values from the calculation:
formation energy: -0.506 eV/atom
calculated total energy: -7.038 eV per atom



No. 5
First-principles (GGA-PBE) data for a geometry-optimized Y2ZrAs structure, as listed in Alexandria via LeMat-Bulk.

```
Y2ZrAs
1.0
4.346 0.000 0.000
0.000 4.656 0.000
0.000 0.000 4.656
Zr Y As
1 2 1
direct
0.500 0.500 0.000
0.000 0.000 0.000
0.000 0.500 0.500
0.500 0.000 0.500
```

Values from the calculation:
formation energy: -0.347 eV/atom
calculated total energy: -6.878 eV per atom



No. 6
First-principles (GGA-PBE) data for a geometry-optimized YZrAs3 structure, as listed in Alexandria via LeMat-Bulk.

```
YZrAs3
1.0
5.233 0.000 0.000
0.000 5.233 0.000
0.000 0.000 5.233
As Y Zr
3 1 1
direct
0.500 0.000 0.000
0.000 0.000 0.500
0.000 0.500 0.000
0.000 0.000 0.000
0.500 0.500 0.500
```

Values from the calculation:
offset from the most stable computed form: 3.91 eV/f.u.
formation energy: 0.496 eV/atom
calculated total energy: -5.296 eV per atom



no.,volume (Å³ per atom)
1,25.5
2,26.7
3,29.0
4,25.0
5,23.6
6,28.7